Computed, not measured: a relaxed structure of NiIrPd2I at the PBE level of DFT.

Summary:
Space group ... P4/mmm, No. 123
V ... 19.548 Å³/atom
ΔE_f (raw) ... 1.263 eV per atom
Calculated total energy ... -4.053 eV/atom

The structure in extended XYZ format:
```
5
Lattice="4.604 0.000 0.000 0.000 4.604 0.000 0.000 0.000 4.611" Properties=species:S:1:pos:R:3 pbc="T T T"
Ni 0.000 0.000 0.000
Ir 2.302 2.302 2.305
Pd 0.000 2.302 0.000
Pd 2.302 0.000 0.000
I 0.000 0.000 2.305
```

Computed, not measured: a relaxed structure of NaNd3Tl4 at the PBE level of DFT.

Summary:
Space group ... R-3m, No. 166
V ... 29.163 Å³/atom
Formation energy from the elements ... -0.328 eV per atom
Calculated total energy ... -3.464 eV/atom

The structure in extended XYZ format:
```
8
Lattice="2.718 1.569 9.118 -2.718 1.569 9.118 0.000 -3.138 9.118" Properties=species:S:1:pos:R:3 pbc="T T T"
Na 0.000 0.000 0.000
Nd 0.000 0.000 6.997
Nd 0.000 0.000 13.678
Nd 0.000 0.000 20.359
Tl 0.000 0.000 3.418
Tl 0.000 0.000 10.263
Tl 0.000 0.000 17.093
Tl 0.000 0.000 23.937
```